<P>
Zr2ZnHg after structural relaxation, computed with PBE.

size of the total moment	0.00	μB per atom
V	20.2	A^3/atom
Fermi-level density of states	3.66	states/eV/f.u.

POSCAR file:
```
Zr2ZnHg
1.0
3.190 0.000 0.000
0.000 3.190 0.000
0.000 0.000 7.926
Zr Zn Hg
2 1 1
Cartesian
0.000 0.000 1.843
0.000 0.000 6.083
1.595 1.595 0.000
1.595 1.595 3.963
```

=====

<Q>
Zr2ZnHg after structural relaxation, computed with PBE.

size of the total moment	0.00	μB per atom
V	20.4	A^3/atom
Fermi-level density of states	0.16	states/eV/f.u.

POSCAR file:
```
Zr2ZnHg
1.0
0.000 3.445 3.445
3.445 0.000 3.445
3.445 3.445 0.000
Zr Zn Hg
2 1 1
Cartesian
1.723 1.723 1.723
5.168 5.168 5.168
0.000 0.000 0.000
3.445 3.445 3.445
```

=====

<R>
Zr2ZnHg after structural relaxation, computed with PBE.

size of the total moment	0.00	μB per atom
V	21.0	A^3/atom
Fermi-level density of states	3.30	states/eV/f.u.

POSCAR file:
```
Zr2ZnHg
1.0
5.103 -1.549 0.000
5.103 1.549 0.000
-0.891 0.000 5.323
Zr Zn Hg
2 1 1
Cartesian
2.324 0.000 1.266
6.990 0.000 4.057
5.103 0.000 0.000
-0.445 0.000 2.662
```

=====

<S>
Zr2ZnHg after structural relaxation, computed with PBE.

size of the total moment	0.00	μB per atom
V	21.9	A^3/atom
Fermi-level density of states	1.81	states/eV/f.u.

POSCAR file:
```
Zr2ZnHg
1.0
1.665 0.961 9.138
-1.665 0.961 9.138
0.000 -1.922 9.138
Zr Zn Hg
2 1 1
Cartesian
0.000 0.000 0.000
0.000 0.000 6.756
0.000 0.000 20.510
0.000 0.000 13.489
```

=====

Most stable = <P>